Record 1
DFT (PBE) results for a relaxed TbSm6Mg crystal.

Calculated values
Excess energy over the best structure of this formula in the dataset in kJ/mol of atoms: 9.5
ΔH_f (0 K) in eV/atom: 0.109
DOS(E_F) in states/eV per atom: 1.543
Size of the total moment in μB/cell: 0.000

Cell: 9.588 8.582 6.432 Å, 48.16 41.82 56.07°
Fractional coordinates of all 8 atoms:
1 Tb 0.500 0.500 0.500
2 Sm 0.529 0.240 0.178
3 Sm 0.240 0.053 0.236
4 Sm 0.053 0.470 0.717
5 Sm 0.947 0.530 0.283
6 Sm 0.760 0.947 0.764
7 Sm 0.471 0.760 0.822
8 Mg 0.000 0.000 0.000


Record 2
DFT (PBE) results for a relaxed TbSm6Mg2 crystal.

Calculated values
Excess energy over the best structure of this formula in the dataset in kJ/mol of atoms: 2.5
ΔH_f (0 K) in eV/atom: 0.099
DOS(E_F) in states/eV per atom: 1.241
Size of the total moment in μB/cell: 0.000

Cell: 6.373 9.667 9.667 Å, 77.53 81.92 81.92°
Fractional coordinates of all 18 atoms:
1 Mg 0.897 0.286 0.329
2 Mg 0.603 0.671 0.714
3 Mg 0.103 0.714 0.671
4 Mg 0.397 0.329 0.286
5 Sm 0.477 0.666 0.394
6 Sm 0.023 0.606 0.334
7 Sm 0.262 0.445 0.946
8 Sm 0.738 0.555 0.054
9 Sm 0.977 0.394 0.666
10 Sm 0.238 0.054 0.555
11 Sm 0.762 0.946 0.445
12 Sm 0.224 0.015 0.218
13 Sm 0.523 0.334 0.606
14 Sm 0.724 0.218 0.015
15 Sm 0.776 0.985 0.782
16 Sm 0.276 0.782 0.985
17 Tb 0.250 0.130 0.870
18 Tb 0.750 0.870 0.130


Record 3
DFT (PBE) results for a relaxed Tb2SmMg crystal.

Calculated values
Excess energy over the best structure of this formula in the dataset in kJ/mol of atoms: 4.7
ΔH_f (0 K) in eV/atom: 0.017
DOS(E_F) in states/eV per atom: 1.735
Size of the total moment in μB/cell: 0.001

Cell: 4.966 4.930 4.930 Å, 90.00 90.00 90.00°
Fractional coordinates of all 4 atoms:
1 Sm 0.500 0.500 0.500
2 Tb 0.000 0.500 0.000
3 Tb 0.000 0.000 0.500
4 Mg 0.500 0.000 0.000


Record 4
DFT (PBE) results for a relaxed Tb5SmMg3 crystal.

Calculated values
ΔH_f (0 K) in eV/atom: 0.402
DOS(E_F) in states/eV per atom: 1.432
Size of the total moment in μB/cell: 0.001

Cell: 7.896 7.896 10.696 Å, 83.32 83.32 63.40°
Fractional coordinates of all 18 atoms:
1 Mg 0.656 0.656 0.793
2 Mg 0.000 0.000 0.000
3 Mg 0.286 0.286 0.491
4 Mg 0.000 0.000 0.500
5 Mg 0.714 0.714 0.509
6 Mg 0.344 0.344 0.207
7 Tb 0.248 0.248 0.965
8 Tb 0.655 0.046 0.735
9 Tb 0.481 0.481 0.652
10 Tb 0.345 0.954 0.265
11 Tb 0.327 0.673 0.000
12 Tb 0.954 0.345 0.265
13 Tb 0.752 0.752 0.035
14 Tb 0.046 0.655 0.735
15 Tb 0.519 0.519 0.348
16 Tb 0.673 0.327 0.000
17 Sm 0.891 0.891 0.268
18 Sm 0.109 0.109 0.732